! AcTbNd14 | Alexandria | GGA-PBE | optimized geometry; values from VASP
&SYSTEM
  ibrav = 0, nat = 16, ntyp = 3
/
ATOMIC_SPECIES
Ac 227.00 Ac.upf
Tb 158.93 Tb.upf
Nd 144.24 Nd.upf
ATOMIC_POSITIONS crystal
Ac 0.6674 0.3326 0.0000
Tb 0.1656 0.8344 0.0000
Nd 0.6665 0.3335 0.5000
Nd 0.1670 0.8330 0.5000
Nd 0.1649 0.3316 0.0000
Nd 0.1677 0.3341 0.5000
Nd 0.6684 0.8351 0.0000
Nd 0.6659 0.8323 0.5000
Nd 0.3315 0.1658 0.7486
Nd 0.3315 0.1658 0.2514
Nd 0.8342 0.6685 0.7486
Nd 0.8342 0.6685 0.2514
Nd 0.8343 0.1657 0.7466
Nd 0.8343 0.1657 0.2534
Nd 0.3333 0.6667 0.7520
Nd 0.3333 0.6667 0.2480
CELL_PARAMETERS angstrom
7.4378 -0.1092 0.0000
-3.6298 6.4929 0.0000
0.0000 0.0000 11.9955
! Total DFT energy (no corrections): -74.9 eV for the cell shown
! Space group: No. 38
! Calculated formation energy: 0.038 eV/atom
! V: 574.5 Å³/f.u.

! Ac2TbNd9 | Alexandria | GGA-PBE | optimized geometry; values from VASP
&SYSTEM
  ibrav = 0, nat = 12, ntyp = 3
/
ATOMIC_SPECIES
Ac 227.00 Ac.upf
Tb 158.93 Tb.upf
Nd 144.24 Nd.upf
ATOMIC_POSITIONS crystal
Ac 0.0000 0.0000 0.3298
Ac 0.0000 0.0000 0.6702
Tb 0.0000 0.0000 0.0000
Nd 0.5000 0.5000 0.0000
Nd 0.5000 0.5000 0.3370
Nd 0.5000 0.5000 0.6630
Nd 0.5000 0.0000 0.1580
Nd 0.5000 0.0000 0.5000
Nd 0.5000 0.0000 0.8420
Nd 0.0000 0.5000 0.1580
Nd 0.0000 0.5000 0.5000
Nd 0.0000 0.5000 0.8420
CELL_PARAMETERS angstrom
-2.9595 -3.3118 4.2852
5.3813 -1.2476 2.7523
-1.1372 9.4155 6.4913
! Total DFT energy (no corrections): -54.4 eV for the cell shown
! Space group: No. 123
! Calculated formation energy: 0.116 eV/atom
! V: 437.8 Å³/f.u.

! AcTb5Nd2 | Alexandria | GGA-PBE | optimized geometry; values from VASP
&SYSTEM
  ibrav = 0, nat = 16, ntyp = 3
/
ATOMIC_SPECIES
Ac 227.00 Ac.upf
Tb 158.93 Tb.upf
Nd 144.24 Nd.upf
ATOMIC_POSITIONS crystal
Ac 0.0000 0.0000 0.5000
Ac 0.0000 0.5000 0.0000
Tb 0.0000 0.0000 0.0000
Tb 0.0000 0.5000 0.5000
Tb 0.0000 0.5039 0.7467
Tb 0.0000 0.4961 0.2533
Tb 0.0000 0.9961 0.2467
Tb 0.0000 0.0039 0.7533
Tb 0.5000 0.2503 0.8724
Tb 0.5000 0.7497 0.1276
Tb 0.5000 0.2497 0.3724
Tb 0.5000 0.7503 0.6276
Nd 0.5000 0.2557 0.6279
Nd 0.5000 0.7443 0.3721
Nd 0.5000 0.2443 0.1279
Nd 0.5000 0.7557 0.8721
CELL_PARAMETERS angstrom
-3.3475 -2.5976 -2.9430
4.4267 0.7858 -5.7287
6.6717 -12.4964 3.4412
! Total DFT energy (no corrections): -73.1 eV for the cell shown
! Relative energy among the computed polymorphs: 0 meV per atom
! Space group: No. 55
! Calculated formation energy: 0.032 eV/atom
! V: 273.8 Å³/f.u.

! Ac2Tb3Nd8 | Alexandria | GGA-PBE | optimized geometry; values from VASP
&SYSTEM
  ibrav = 0, nat = 13, ntyp = 3
/
ATOMIC_SPECIES
Ac 227.00 Ac.upf
Tb 158.93 Tb.upf
Nd 144.24 Nd.upf
ATOMIC_POSITIONS crystal
Ac 0.6396 0.6396 0.0813
Ac 0.3604 0.3604 0.9187
Tb 0.0000 0.0000 0.0000
Tb 0.8123 0.8123 0.5632
Tb 0.1877 0.1877 0.4368
Nd 0.7270 0.7270 0.8191
Nd 0.2730 0.2730 0.1809
Nd 0.2210 0.7206 0.3378
Nd 0.7206 0.2210 0.3378
Nd 0.7206 0.7206 0.3378
Nd 0.2794 0.7790 0.6622
Nd 0.7790 0.2794 0.6622
Nd 0.2794 0.2794 0.6622
CELL_PARAMETERS angstrom
-5.8846 -3.2488 -0.5297
-0.4320 -6.4990 1.7437
-4.9537 0.0312 11.9258
! Total DFT energy (no corrections): -56.7 eV for the cell shown
! Relative energy among the computed polymorphs: 89 meV per atom
! Space group: No. 166
! Calculated formation energy: 0.271 eV/atom
! V: 484.8 Å³/f.u.

! Ac2Tb5Nd12 | Alexandria | GGA-PBE | optimized geometry; values from VASP
&SYSTEM
  ibrav = 0, nat = 19, ntyp = 3
/
ATOMIC_SPECIES
Ac 227.00 Ac.upf
Tb 158.93 Tb.upf
Nd 144.24 Nd.upf
ATOMIC_POSITIONS crystal
Ac 0.7174 0.0000 0.0000
Ac 0.2826 0.0000 0.0000
Tb 0.2173 0.4347 0.5605
Tb 0.3257 0.6514 0.1096
Tb 0.0000 0.0000 0.5000
Tb 0.6743 0.3486 0.8904
Tb 0.7827 0.5653 0.4395
Nd 0.1078 0.2155 0.0172
Nd 0.0355 0.5863 0.7833
Nd 0.5508 0.5863 0.7833
Nd 0.1347 0.7951 0.3912
Nd 0.6604 0.7951 0.3912
Nd 0.4189 0.8378 0.6383
Nd 0.5811 0.1622 0.3617
Nd 0.8653 0.2049 0.6088
Nd 0.3396 0.2049 0.6088
Nd 0.9645 0.4137 0.2167
Nd 0.4492 0.4137 0.2167
Nd 0.8922 0.7845 0.9828
CELL_PARAMETERS angstrom
-2.6566 8.4045 -7.9239
-5.5368 -9.3170 0.8386
-2.9307 3.3709 4.5578
! Total DFT energy (no corrections): -86.5 eV for the cell shown
! Space group: No. 12
! Calculated formation energy: 0.110 eV/atom
! V: 676.0 Å³/f.u.

! Ac12Tb3Nd | Alexandria | GGA-PBE | optimized geometry; values from VASP
&SYSTEM
  ibrav = 0, nat = 16, ntyp = 3
/
ATOMIC_SPECIES
Ac 227.00 Ac.upf
Tb 158.93 Tb.upf
Nd 144.24 Nd.upf
ATOMIC_POSITIONS crystal
Ac 0.5000 0.5000 0.0000
Ac 0.5000 0.5000 0.2511
Ac 0.5000 0.5000 0.5000
Ac 0.5000 0.5000 0.7489
Ac 0.5000 0.0000 0.1264
Ac 0.5000 0.0000 0.3756
Ac 0.5000 0.0000 0.6244
Ac 0.5000 0.0000 0.8736
Ac 0.0000 0.5000 0.1264
Ac 0.0000 0.5000 0.3756
Ac 0.0000 0.5000 0.6244
Ac 0.0000 0.5000 0.8736
Tb 0.0000 0.0000 0.2511
Tb 0.0000 0.0000 0.5000
Tb 0.0000 0.0000 0.7489
Nd 0.0000 0.0000 0.0000
CELL_PARAMETERS angstrom
5.5069 0.0000 0.0000
0.0000 5.5069 0.0000
0.0000 0.0000 21.9772
! Total DFT energy (no corrections): -67.5 eV for the cell shown
! Space group: No. 123
! Calculated formation energy: 0.032 eV/atom
! V: 666.5 Å³/f.u.

! Ac4TbNd | Alexandria | GGA-PBE | optimized geometry; values from VASP
&SYSTEM
  ibrav = 0, nat = 6, ntyp = 3
/
ATOMIC_SPECIES
Nd 144.24 Nd.upf
Ac 227.00 Ac.upf
Tb 158.93 Tb.upf
ATOMIC_POSITIONS crystal
Nd 0.0000 0.0000 0.0000
Ac 0.6245 0.6245 0.1264
Ac 0.6245 0.1264 0.6245
Ac 0.6245 0.6245 0.6245
Ac 0.1264 0.6245 0.6245
Tb 0.2500 0.2500 0.2500
CELL_PARAMETERS angstrom
7.1599 0.0000 0.0000
3.5800 6.2007 0.0000
3.5800 2.0669 5.8460
! Total DFT energy (no corrections): -23.7 eV for the cell shown
! Relative energy among the computed polymorphs: 310 meV per atom
! Space group: No. 216
! Calculated formation energy: 0.351 eV/atom
! V: 259.5 Å³/f.u.

! AcTb3Nd4 | Alexandria | GGA-PBE | optimized geometry; values from VASP
&SYSTEM
  ibrav = 0, nat = 16, ntyp = 3
/
ATOMIC_SPECIES
Ac 227.00 Ac.upf
Tb 158.93 Tb.upf
Nd 144.24 Nd.upf
ATOMIC_POSITIONS crystal
Ac 0.1427 0.1254 0.0000
Ac 0.6427 0.8746 0.5000
Tb 0.6478 0.8728 0.0000
Tb 0.9826 0.8752 0.2514
Tb 0.4826 0.1248 0.2486
Tb 0.1478 0.1272 0.5000
Tb 0.4826 0.1248 0.7514
Tb 0.9826 0.8752 0.7486
Nd 0.1457 0.6286 0.0000
Nd 0.6527 0.3773 0.0000
Nd 0.9806 0.3762 0.2546
Nd 0.4806 0.6238 0.2454
Nd 0.1527 0.6227 0.5000
Nd 0.6457 0.3714 0.5000
Nd 0.4806 0.6238 0.7546
Nd 0.9806 0.3762 0.7454
CELL_PARAMETERS angstrom
-2.3257 0.8361 5.9266
4.7490 -5.1243 2.5864
8.0510 8.4540 1.9666
! Total DFT energy (no corrections): -73.5 eV for the cell shown
! Relative energy among the computed polymorphs: 0 meV per atom
! Space group: No. 31
! Calculated formation energy: 0.042 eV/atom
! V: 283.2 Å³/f.u.

! AcTb2Nd6 | Alexandria | GGA-PBE | optimized geometry; values from VASP
&SYSTEM
  ibrav = 0, nat = 9, ntyp = 3
/
ATOMIC_SPECIES
Ac 227.00 Ac.upf
Tb 158.93 Tb.upf
Nd 144.24 Nd.upf
ATOMIC_POSITIONS crystal
Ac 0.0000 0.0000 0.0000
Tb 0.4441 0.7728 0.1120
Tb 0.5559 0.2272 0.8880
Nd 0.8887 0.5579 0.2215
Nd 0.1113 0.4421 0.7785
Nd 0.6693 0.6613 0.6620
Nd 0.7790 0.1060 0.4423
Nd 0.2210 0.8940 0.5577
Nd 0.3307 0.3387 0.3380
CELL_PARAMETERS angstrom
3.6848 0.3284 0.2380
-0.1601 6.3109 -6.4509
0.9647 0.7142 13.1663
! Total DFT energy (no corrections): -41.7 eV for the cell shown
! Relative energy among the computed polymorphs: 0 meV per atom
! Space group: No. 2
! Calculated formation energy: 0.026 eV/atom
! V: 320.3 Å³/f.u.

! AcTbNd2 | Alexandria | GGA-PBE | optimized geometry; values from VASP
&SYSTEM
  ibrav = 0, nat = 4, ntyp = 3
/
ATOMIC_SPECIES
Nd 144.24 Nd.upf
Ac 227.00 Ac.upf
Tb 158.93 Tb.upf
ATOMIC_POSITIONS crystal
Nd 0.0000 0.0000 0.5000
Nd 0.0000 0.5000 0.0000
Ac 0.5000 0.0000 0.0000
Tb 0.5000 0.5000 0.5000
CELL_PARAMETERS angstrom
-3.1357 2.1844 -3.6711
-4.2008 -1.0445 2.9666
0.4993 4.6657 2.3497
! Total DFT energy (no corrections): -18.2 eV for the cell shown
! Relative energy among the computed polymorphs: 0 meV per atom
! Space group: No. 123
! Calculated formation energy: 0.030 eV/atom
! V: 145.9 Å³/f.u.

! AcTb5Nd | Alexandria | GGA-PBE | optimized geometry; values from VASP
&SYSTEM
  ibrav = 0, nat = 14, ntyp = 3
/
ATOMIC_SPECIES
Ac 227.00 Ac.upf
Tb 158.93 Tb.upf
Nd 144.24 Nd.upf
ATOMIC_POSITIONS crystal
Ac 0.0000 0.0000 0.0000
Ac 0.0000 0.0000 0.5000
Tb 0.3838 0.0355 0.8327
Tb 0.4699 0.7628 0.5350
Tb 0.0355 0.3838 0.3327
Tb 0.8250 0.1750 0.7500
Tb 0.2372 0.5301 0.9650
Tb 0.7628 0.4699 0.0350
Tb 0.1750 0.8250 0.2500
Tb 0.9645 0.6162 0.6673
Tb 0.5301 0.2372 0.4650
Tb 0.6162 0.9645 0.1673
Nd 0.4844 0.5156 0.7500
Nd 0.5156 0.4844 0.2500
CELL_PARAMETERS angstrom
-4.2470 2.4370 -4.5616
4.3148 -2.5953 -4.4081
-5.5749 -9.3286 5.1199
! Total DFT energy (no corrections): -62.7 eV for the cell shown
! Space group: No. 15
! Calculated formation energy: 0.094 eV/atom
! V: 243.4 Å³/f.u.

! Ac6TbNd4 | Alexandria | GGA-PBE | optimized geometry; values from VASP
&SYSTEM
  ibrav = 0, nat = 11, ntyp = 3
/
ATOMIC_SPECIES
Ac 227.00 Ac.upf
Tb 158.93 Tb.upf
Nd 144.24 Nd.upf
ATOMIC_POSITIONS crystal
Ac 0.0000 0.8883 0.4907
Ac 0.0000 0.4907 0.8883
Ac 0.3976 0.5093 0.5093
Ac 0.5000 0.5000 0.0000
Ac 0.6024 0.1117 0.1117
Ac 0.5000 0.0000 0.5000
Tb 0.0000 0.0000 0.0000
Nd 0.0000 0.6736 0.0571
Nd 0.3835 0.3264 0.3264
Nd 0.0000 0.0571 0.6736
Nd 0.6165 0.9429 0.9429
CELL_PARAMETERS angstrom
-7.6741 7.9006 2.9486
3.8497 -6.6262 -8.4426
2.4277 -11.1404 -0.0481
! Total DFT energy (no corrections): -45.0 eV for the cell shown
! Space group: No. 121
! Calculated formation energy: 0.306 eV/atom
! V: 479.8 Å³/f.u.

Sequential M_tot output: 0.00 0.00 0.00 0.00 0.00 0.00 0.00 0.00 0.00 0.00 0.00 0.00 μB/f.u.